Entry 1:
Below is a relaxed structure of InFeI2, with properties calculated at the PBE level.

Symmetry: Fm-3m (225)
Distance to the lowest polymorph of the same formula (eV per atom): 0.323
ρ (kg/m3): 6026
Total energy (eV/atom): -3.181
Uncorrected formation energy (eV per formula unit): 1.6

Lattice parameters (Å, degrees): 5.4895 5.4895 5.4895 60.00 60.00 60.00
Closest atoms and distances in Å follow each position.
Sites, in units of the cell vectors:
In 0.0000 0.0000 0.0000  8 I 3.36
Fe 0.5000 0.5000 0.5000  8 I 3.36
I 0.2500 0.2500 0.2500  4 Fe 3.36, 4 In 3.36
I 0.7500 0.7500 0.7500  4 Fe 3.36, 4 In 3.36


Entry 2:
Below is a relaxed structure of Hf6C3SN2, with properties calculated at the PBE level.

Symmetry: C2/m (12)
ρ (kg/m3): 12325
Total energy (eV/atom): -10.278
Uncorrected formation energy (eV per formula unit): -15.2

Lattice parameters (Å, degrees): 7.4663 7.4663 6.7230 103.45 103.45 25.59
Closest atoms and distances in Å follow each position.
Sites, in units of the cell vectors:
Hf 0.0016 0.0016 0.2196  3 C 2.21-2.33, 1 N 2.42
Hf 0.3222 0.3222 0.4127  3 C 2.21-2.36, 2 N 2.37
Hf 0.3329 0.3329 0.9150  3 N 2.32-2.36, 3 C 2.35-2.36
Hf 0.6671 0.6671 0.0850  3 N 2.32-2.36, 3 C 2.35-2.36
Hf 0.6778 0.6778 0.5873  3 C 2.21-2.36, 2 N 2.37
Hf 0.9984 0.9984 0.7804  3 C 2.21-2.33, 1 N 2.42
C 0.1657 0.1657 0.3316  6 Hf 2.21-2.36
C 0.5000 0.5000 0.0000  6 Hf 2.21-2.36
C 0.8343 0.8343 0.6684  6 Hf 2.21-2.36
S 0.5000 0.5000 0.5000  6 Hf 2.51
N 0.1691 0.1691 0.8353  6 Hf 2.32-2.42
N 0.8309 0.8309 0.1647  6 Hf 2.32-2.42


Entry 3:
Below is a relaxed structure of HoPa2V, with properties calculated at the PBE level.

Symmetry: R-3m (166)
ρ (kg/m3): 11959
ΔH_f (0 K) (meV per atom): 451
Total energy (eV/atom): -7.721

Lattice parameters (Å, degrees): 11.2825 11.2825 11.2825 15.92 15.92 15.92
Closest atoms and distances in Å follow each position.
Sites, in units of the cell vectors:
Ho 0.0000 0.0000 0.0000  6 Ho 3.12, 2 Pa 3.16
Pa 0.0947 0.0947 0.0947  3 V 3.01, 6 Pa 3.12, 1 Ho 3.16
Pa 0.9053 0.9053 0.9053  3 V 3.01, 6 Pa 3.12, 1 Ho 3.16
V 0.5000 0.5000 0.5000  6 Pa 3.01, 6 V 3.12


Entry 4:
Below is a relaxed structure of Rb3TlCu2F9, with properties calculated at the PBE level.

Symmetry: P-3m1 (164)
ρ (kg/m3): 5229
Total energy (eV/atom): -4.138
Uncorrected formation energy (eV per formula unit): -31.8

Lattice parameters (Å, degrees): 6.0809 6.0809 7.5249 90.00 90.00 120.00
Closest atoms and distances in Å follow each position.
Sites, in units of the cell vectors:
Rb 0.0000 0.0000 0.0000  12 F 3.03-3.04
Rb 0.3333 0.6667 0.6811  12 F 2.97-3.20
Rb 0.6667 0.3333 0.3189  12 F 2.97-3.20
Tl 0.0000 0.0000 0.5000  6 F 2.31
Cu 0.3333 0.6667 0.1512  6 F 2.07-2.09
Cu 0.6667 0.3333 0.8488  6 F 2.07-2.09
F 0.0000 0.5000 0.0000  2 Cu 2.09
F 0.1763 0.3527 0.3174  1 Cu 2.07, 1 Tl 2.31
F 0.1763 0.8237 0.3174  1 Cu 2.07, 1 Tl 2.31
F 0.3527 0.1763 0.6826  1 Cu 2.07, 1 Tl 2.31
F 0.5000 0.0000 0.0000  2 Cu 2.09
F 0.5000 0.5000 0.0000  2 Cu 2.09
F 0.6473 0.8237 0.3174  1 Cu 2.07, 1 Tl 2.31
F 0.8237 0.1763 0.6826  1 Cu 2.07, 1 Tl 2.31
F 0.8237 0.6473 0.6826  1 Cu 2.07, 1 Tl 2.31


Entry 5:
Below is a relaxed structure of Cs2H2F5, with properties calculated at the PBE level.

Symmetry: C2/m (12)
ρ (kg/m3): 3556
Total energy (eV/atom): -3.899

Lattice parameters (Å, degrees): 6.6036 6.6036 6.5531 104.24 104.24 37.88
Closest atoms and distances in Å follow each position.
Sites, in units of the cell vectors:
Cs 0.0949 0.0949 0.2862  5 F 2.89-3.15, 1 H 3.07
Cs 0.9051 0.9051 0.7138  5 F 2.89-3.15, 1 H 3.07
H 0.3226 0.3226 0.1901  1 F 1.04
H 0.6774 0.6774 0.8099  1 F 1.04
F 0.2536 0.2536 0.9962  1 H 1.34
F 0.3649 0.3649 0.3487  1 H 1.04
F 0.5000 0.5000 0.0000  2 H 2.81, 4 Cs 2.89, 2 F 3.07
F 0.6351 0.6351 0.6513  1 H 1.04
F 0.7464 0.7464 0.0038  1 H 1.34


Entry 6:
Below is a relaxed structure of POs2Br, with properties calculated at the PBE level.

Symmetry: Pm (6)
Distance to the lowest polymorph of the same formula (eV per atom): 0.010
ρ (kg/m3): 10333
Total energy (eV/atom): -6.980
Uncorrected formation energy (eV per formula unit): 1.6

Lattice parameters (Å, degrees): 2.8472 3.6596 7.7023 90.00 100.32 90.00
Closest atoms and distances in Å follow each position.
Sites, in units of the cell vectors:
P 0.0000 0.0000 0.0000  5 Os 2.39-2.59
Os 0.4252 0.5000 0.8467  4 P 2.59, 6 Os 2.62-2.85
Os 0.8468 0.0000 0.6849  1 P 2.39, 4 Os 2.62, 2 Br 2.66
Br 0.7233 0.5000 0.4300  2 Os 2.66, 2 Br 2.85


Entry 7:
Below is a relaxed structure of Na3Li5F12, with properties calculated at the PBE level.

Symmetry: Ia-3d (230)
ρ (kg/m3): 2336
Total energy (eV/atom): -3.993
Uncorrected formation energy (eV per formula unit): -43.9

Lattice parameters (Å, degrees): 10.6995 10.6995 10.6995 109.47 109.47 109.47
Closest atoms and distances in Å follow each position.
Sites, in units of the cell vectors:
Na 0.1250 0.2500 0.3750  4 F 2.29
Na 0.1250 0.3750 0.7500  4 F 2.29
Na 0.2500 0.3750 0.1250  4 F 2.29
Na 0.2500 0.8750 0.6250  4 F 2.29
Na 0.3750 0.1250 0.2500  4 F 2.29
Na 0.3750 0.7500 0.1250  4 F 2.29
Na 0.6250 0.2500 0.8750  4 F 2.29
Na 0.6250 0.8750 0.7500  4 F 2.29
Na 0.7500 0.1250 0.3750  4 F 2.29
Na 0.7500 0.6250 0.8750  4 F 2.29
Na 0.8750 0.6250 0.2500  4 F 2.29
Na 0.8750 0.7500 0.6250  4 F 2.29
Li 0.0000 0.0000 0.0000  6 F 2.04
Li 0.0000 0.0000 0.5000  6 F 2.04
Li 0.0000 0.5000 0.0000  6 F 2.04
Li 0.0000 0.5000 0.5000  6 F 2.04
Li 0.1250 0.7500 0.8750  4 F 1.89
Li 0.1250 0.8750 0.2500  4 F 1.89
Li 0.2500 0.1250 0.8750  4 F 1.89
Li 0.2500 0.6250 0.3750  4 F 1.89
Li 0.3750 0.2500 0.6250  4 F 1.89
Li 0.3750 0.6250 0.7500  4 F 1.89
Li 0.5000 0.0000 0.0000  6 F 2.04
Li 0.5000 0.0000 0.5000  6 F 2.04
Li 0.5000 0.5000 0.0000  6 F 2.04
Li 0.5000 0.5000 0.5000  6 F 2.04
Li 0.6250 0.3750 0.2500  4 F 1.89
Li 0.6250 0.7500 0.3750  4 F 1.89
Li 0.7500 0.3750 0.6250  4 F 1.89
Li 0.7500 0.8750 0.1250  4 F 1.89
Li 0.8750 0.1250 0.7500  4 F 1.89
Li 0.8750 0.2500 0.1250  4 F 1.89
F 0.0295 0.2137 0.1037  2 Li 1.89-2.04
F 0.0295 0.3158 0.9258  2 Li 1.89-2.04
F 0.0742 0.6037 0.3900  2 Li 1.89-2.04
F 0.0742 0.9705 0.6842  2 Li 1.89-2.04
F 0.1037 0.0295 0.2137  2 Li 1.89-2.04
F 0.1037 0.5742 0.8900  2 Li 1.89-2.04
F 0.1100 0.7137 0.6842  2 Li 1.89-2.04
F 0.1100 0.8963 0.4258  2 Li 1.89-2.04
F 0.1842 0.2137 0.6100  2 Li 1.89-2.04
F 0.1842 0.4705 0.5742  2 Li 1.89-2.04
F 0.2137 0.1037 0.0295  2 Li 1.89-2.04
F 0.2137 0.6100 0.1842  2 Li 1.89-2.04
F 0.2863 0.3158 0.8900  2 Li 1.89-2.04
F 0.2863 0.4705 0.3963  2 Li 1.89-2.04
F 0.3158 0.8900 0.2863  2 Li 1.89-2.04
F 0.3158 0.9258 0.0295  2 Li 1.89-2.04
F 0.3900 0.0742 0.6037  2 Li 1.89-2.04
F 0.3900 0.8158 0.7863  2 Li 1.89-2.04
F 0.3963 0.2863 0.4705  2 Li 1.89-2.04
F 0.3963 0.6100 0.9258  2 Li 1.89-2.04
F 0.4258 0.1100 0.8963  2 Li 1.89-2.04
F 0.4258 0.8158 0.5295  2 Li 1.89-2.04
F 0.4705 0.3963 0.2863  2 Li 1.89-2.04
F 0.4705 0.5742 0.1842  2 Li 1.89-2.04
F 0.5295 0.4258 0.8158  2 Li 1.89-2.04
F 0.5295 0.6037 0.7137  2 Li 1.89-2.04
F 0.5742 0.1842 0.4705  2 Li 1.89-2.04
F 0.5742 0.8900 0.1037  2 Li 1.89-2.04
F 0.6037 0.3900 0.0742  2 Li 1.89-2.04
F 0.6037 0.7137 0.5295  2 Li 1.89-2.04
F 0.6100 0.1842 0.2137  2 Li 1.89-2.04
F 0.6100 0.9258 0.3963  2 Li 1.89-2.04
F 0.6842 0.0742 0.9705  2 Li 1.89-2.04
F 0.6842 0.1100 0.7137  2 Li 1.89-2.04
F 0.7137 0.5295 0.6037  2 Li 1.89-2.04
F 0.7137 0.6842 0.1100  2 Li 1.89-2.04
F 0.7863 0.3900 0.8158  2 Li 1.89-2.04
F 0.7863 0.8963 0.9705  2 Li 1.89-2.04
F 0.8158 0.5295 0.4258  2 Li 1.89-2.04
F 0.8158 0.7863 0.3900  2 Li 1.89-2.04
F 0.8900 0.1037 0.5742  2 Li 1.89-2.04
F 0.8900 0.2863 0.3158  2 Li 1.89-2.04
F 0.8963 0.4258 0.1100  2 Li 1.89-2.04
F 0.8963 0.9705 0.7863  2 Li 1.89-2.04
F 0.9258 0.0295 0.3158  2 Li 1.89-2.04
F 0.9258 0.3963 0.6100  2 Li 1.89-2.04
F 0.9705 0.6842 0.0742  2 Li 1.89-2.04
F 0.9705 0.7863 0.8963  2 Li 1.89-2.04


Entry 8:
Below is a relaxed structure of CoNiCl2, with properties calculated at the PBE level.

Symmetry: Imm2 (44)
Distance to the lowest polymorph of the same formula (eV per atom): 0.237
ρ (kg/m3): 4101
Total energy (eV/atom): -4.061
Uncorrected formation energy (eV per formula unit): 0.3

Lattice parameters (Å, degrees): 7.5899 7.5899 7.5899 156.39 154.12 35.31
Closest atoms and distances in Å follow each position.
Sites, in units of the cell vectors:
Co 0.0000 0.0000 0.0000  4 Cl 2.45, 2 Ni 2.50
Ni 0.1351 0.6351 0.5000  4 Cl 2.40, 2 Co 2.50
Cl 0.4414 0.4414 0.0000  4 Co 2.45
Cl 0.6829 0.1829 0.5000  4 Ni 2.40


Entry 9:
Below is a relaxed structure of Ti3N2, with properties calculated at the PBE level.

Symmetry: P6_3/mmc (194)
ρ (kg/m3): 4895
Total energy (eV/atom): -9.421
Uncorrected formation energy (eV per formula unit): -6.8

Lattice parameters (Å, degrees): 3.0307 3.0307 14.6383 90.00 90.00 120.00
Closest atoms and distances in Å follow each position.
Sites, in units of the cell vectors:
Ti 0.0000 0.0000 0.0000  6 N 2.15
Ti 0.0000 0.0000 0.5000  6 N 2.15
Ti 0.3333 0.6667 0.1595  3 N 2.06
Ti 0.3333 0.6667 0.3405  3 N 2.06
Ti 0.6667 0.3333 0.6595  3 N 2.06
Ti 0.6667 0.3333 0.8405  3 N 2.06
N 0.3333 0.6667 0.5859  6 Ti 2.06-2.15
N 0.3333 0.6667 0.9141  6 Ti 2.06-2.15
N 0.6667 0.3333 0.0859  6 Ti 2.06-2.15
N 0.6667 0.3333 0.4141  6 Ti 2.06-2.15


Entry 10:
Below is a relaxed structure of NaAgCl2, with properties calculated at the PBE level.

Symmetry: R-3m (166)
Distance to the lowest polymorph of the same formula (eV per atom): 0.003
ρ (kg/m3): 2867
Total energy (eV/atom): -3.059
Uncorrected formation energy (eV per formula unit): -4.4

Lattice parameters (Å, degrees): 7.9959 7.9959 7.9959 30.52 30.52 30.52
Closest atoms and distances in Å follow each position.
Sites, in units of the cell vectors:
Na 0.0000 0.0000 0.0000  6 Cl 2.83
Ag 0.5000 0.5000 0.5000  2 Cl 2.35
Cl 0.3971 0.3971 0.3971  1 Ag 2.35
Cl 0.6029 0.6029 0.6029  1 Ag 2.35


Entry 11:
Below is a relaxed structure of Cr2Co2W, with properties calculated at the PBE level.

Symmetry: P4/mbm (127)
Distance to the lowest polymorph of the same formula (eV per atom): 0.030
ρ (kg/m3): 11142
ΔH_f (0 K) (meV per atom): 190
Total energy (eV/atom): -9.092

Lattice parameters (Å, degrees): 6.8850 6.8850 2.5510 90.00 90.00 90.00
Closest atoms and distances in Å follow each position.
Sites, in units of the cell vectors:
Cr 0.1191 0.3809 0.0000  3 Cr 2.32-2.55, 6 Co 2.37-2.43
Cr 0.3809 0.8809 0.0000  3 Cr 2.32-2.55, 6 Co 2.37-2.43
Cr 0.6191 0.1191 0.0000  3 Cr 2.32-2.55, 6 Co 2.37-2.43
Cr 0.8809 0.6191 0.0000  3 Cr 2.32-2.55, 6 Co 2.37-2.43
Co 0.1761 0.6760 0.5000  6 Cr 2.37-2.43, 2 Co 2.55
Co 0.3240 0.1761 0.5000  6 Cr 2.37-2.43, 2 Co 2.55
Co 0.6760 0.8240 0.5000  6 Cr 2.37-2.43, 2 Co 2.55
Co 0.8240 0.3240 0.5000  6 Cr 2.37-2.43, 2 Co 2.55
W 0.0000 0.0000 0.0000  2 W 2.55, 4 Cr 2.75, 8 Co 2.84
W 0.5000 0.5000 0.0000  2 W 2.55, 4 Cr 2.75, 8 Co 2.84


Which of these has the lowest ρ?
Na3Li5F12